The following is a DFT calculation (PBE with a Hubbard U) of a relaxed structure of LiMnF3.

a b c (Å): 7.9054 10.1282 6.8225
angles (deg): 90.00 113.45 90.00
Last column: nearest neighbours and their distance in Å.
Space group P2_1/c (No. 14)
Asymmetric unit:
Li  0.0235  0.2138  0.2511  4 F 1.93-2.13
Li  0.3036  0.0115  0.1432  4 F 1.84-2.03
Mn  0.2179  0.0141  0.6321  7 F 2.13-2.32
Mn  0.4761  0.7311  0.4907  6 F 2.10-2.21
F  0.0193  0.6474  0.9755  2 Li 2.02-2.13, 2 Mn 2.19-2.22
F  0.1917  0.0668  0.3190  2 Li 1.84-1.93
F  0.2222  0.6237  0.4037  2 Li 2.02-2.03, 1 Mn 2.15
F  0.2600  0.1438  0.9137  1 Li 1.98, 1 Mn 2.12
F  0.4445  0.6249  0.1948  3 Mn 2.10-2.21, 1 Li 2.18
F  0.4952  0.1237  0.7161  1 Li 2.03, 2 Mn 2.11-2.21

Values from the calculation:
Energy above the lowest structure with this stoichiometry   3.27 kJ per mole of atoms
Calculated density   3.151 g cm⁻³
Electronic total energy   -5.74 eV/atom